# 1
The following is a DFT calculation (PBE) of an optimized crystal structure of AlCr3P.

Computed properties:
Its energy above the most stable polymorph in this dataset is 464 kJ/mol of formula units.

Cell lengths 4.619, 4.619, 4.619 Å; angles 90.00, 90.00, 90.00 degrees
Last column: magnetic moment on the atom in μB.
Positions (direct):
Cr1 0.500 0.000 0.000  2.92
Cr2 0.000 0.000 0.500  3.55
P1 0.500 0.500 0.500  -0.27
Al1 0.000 0.000 0.000  -0.11
Cr3 0.000 0.500 0.000  3.18

=====

# 2
The following is a DFT calculation (PBE) of an optimized crystal structure of AlCrP2.

Cell lengths 4.255, 4.255, 3.341 Å; angles 82.87, 82.87, 104.74 degrees
Last column: magnetic moment on the atom in μB.
Positions (direct):
Cr1 0.000 0.500 0.500  2.62
P1 0.000 0.000 0.000  -0.06
P2 0.500 0.500 0.000  -0.06
Al1 0.500 0.000 0.500  -0.02

=====

M_tot, respectively: 10.031 2.597 Bohr magnetons per cell.
E_form, respectively: 1352.4 63.2 meV/atom.
Electronic total energy, respectively: -6.2522 -5.9832 eV per atom.